Entry from Alexandria: crystalline Cs2LaGaCl6 at its relaxed geometry (PBE).

```
data_Cs2LaGaCl6
_chemical_formula_sum 'Cs8 La4 Ga4 Cl24'
_space_group_name_H-M_alt 'F m -3 m'
_space_group_IT_number 225
_space_group_name_Hall '-F 4 2 3'
_cell_length_a 11.438
_cell_length_b 11.438
_cell_length_c 11.438
_cell_angle_alpha 90.00
_cell_angle_beta 90.00
_cell_angle_gamma 90.00
loop_
_atom_site_label
_atom_site_type_symbol
_atom_site_fract_x
_atom_site_fract_y
_atom_site_fract_z
Cs1 Cs 0.250 0.250 0.250
La1 La 0.000 0.000 0.000
Ga1 Ga 0.000 0.000 0.500
Cl1 Cl 0.000 0.000 0.243
```

Calculated values
E, Ha/atom: -0.1468
Density, g/cm³: 3.1
Energy relative to the elements, uncorrected, eV per formula unit: -19.19

Entry from Alexandria: crystalline Cs2MgGaCl6 at its relaxed geometry (PBE).

```
data_Cs2MgGaCl6
_chemical_formula_sum 'Cs8 Mg4 Ga4 Cl24'
_space_group_name_H-M_alt 'F m -3 m'
_space_group_IT_number 225
_space_group_name_Hall '-F 4 2 3'
_cell_length_a 10.400
_cell_length_b 10.400
_cell_length_c 10.400
_cell_angle_alpha 90.00
_cell_angle_beta 90.00
_cell_angle_gamma 90.00
loop_
_atom_site_label
_atom_site_type_symbol
_atom_site_fract_x
_atom_site_fract_y
_atom_site_fract_z
Cs1 Cs 0.250 0.250 0.250
Mg1 Mg 0.000 0.000 0.000
Ga1 Ga 0.000 0.000 0.500
Cl1 Cl 0.000 0.000 0.247
```

Calculated values
E, Ha/atom: -0.1227
Density, g/cm³: 3.4
Energy relative to the elements, uncorrected, eV per formula unit: -15.98

Entry from Alexandria: crystalline Cs2Mg2GaCl7 at its relaxed geometry (PBE).

```
data_Cs2Mg2GaCl7
_chemical_formula_sum 'Cs4 Mg4 Ga2 Cl14'
_space_group_name_H-M_alt 'I 4/m m m'
_space_group_IT_number 139
_space_group_name_Hall '-I 4 2'
_cell_length_a 5.087
_cell_length_b 5.087
_cell_length_c 26.953
_cell_angle_alpha 90.00
_cell_angle_beta 90.00
_cell_angle_gamma 90.00
loop_
_atom_site_label
_atom_site_type_symbol
_atom_site_fract_x
_atom_site_fract_y
_atom_site_fract_z
Cs1 Cs 0.000 0.000 0.181
Mg1 Mg 0.000 0.000 0.408
Ga1 Ga 0.000 0.000 0.000
Cl1 Cl 0.000 0.000 0.315
Cl2 Cl 0.000 0.000 0.500
Cl3 Cl 0.000 0.500 0.088
```

Calculated values
E, Ha/atom: -0.1260
Density, g/cm³: 3.0
Energy relative to the elements, uncorrected, eV per formula unit: -20.28

Entry from Alexandria: crystalline Cs2GaNCl6 at its relaxed geometry (PBE).

```
data_Cs2GaNCl6
_chemical_formula_sum 'Cs4 Ga2 N2 Cl12'
_space_group_name_H-M_alt 'I 4/m m m'
_space_group_IT_number 139
_space_group_name_Hall '-I 4 2'
_cell_length_a 6.985
_cell_length_b 6.985
_cell_length_c 11.440
_cell_angle_alpha 90.00
_cell_angle_beta 90.00
_cell_angle_gamma 90.00
loop_
_atom_site_label
_atom_site_type_symbol
_atom_site_fract_x
_atom_site_fract_y
_atom_site_fract_z
Cs1 Cs 0.000 0.500 0.250
Ga1 Ga 0.000 0.000 0.000
N1 N 0.000 0.000 0.500
Cl1 Cl 0.000 0.000 0.204
Cl2 Cl 0.249 0.249 0.500
```

Calculated values
E, Ha/atom: -0.1151
Density, g/cm³: 3.3
Energy relative to the elements, uncorrected, eV per formula unit: -7.18

Entry from Alexandria: crystalline CsNaGa2Cl8 at its relaxed geometry (PBE).

```
data_CsNaGa2Cl8
_chemical_formula_sum 'Cs3 Na3 Ga6 Cl24'
_space_group_name_H-M_alt 'R -3'
_space_group_IT_number 148
_space_group_name_Hall '-R 3'
_cell_length_a 6.6668
_cell_length_b 6.6668
_cell_length_c 29.5042
_cell_angle_alpha 90.00
_cell_angle_beta 90.00
_cell_angle_gamma 120.00
loop_
_atom_site_label
_atom_site_type_symbol
_atom_site_fract_x
_atom_site_fract_y
_atom_site_fract_z
Cs1 Cs 0.0000 0.0000 0.0000
Na1 Na 0.0000 0.0000 0.5000
Ga1 Ga 0.0000 0.0000 0.2476
Cl1 Cl 0.0000 0.0000 0.3225
Cl2 Cl 0.0121 0.6544 0.4417
```

Calculated values
E, Ha/atom: -0.1243
Density, g/cm³: 2.5
Energy relative to the elements, uncorrected, eV per formula unit: -17.58

Entry from Alexandria: crystalline Cs2NbGaCl6 at its relaxed geometry (PBE).

```
data_Cs2NbGaCl6
_chemical_formula_sum 'Cs8 Nb4 Ga4 Cl24'
_space_group_name_H-M_alt 'F m -3 m'
_space_group_IT_number 225
_space_group_name_Hall '-F 4 2 3'
_cell_length_a 10.873
_cell_length_b 10.873
_cell_length_c 10.873
_cell_angle_alpha 90.00
_cell_angle_beta 90.00
_cell_angle_gamma 90.00
loop_
_atom_site_label
_atom_site_type_symbol
_atom_site_fract_x
_atom_site_fract_y
_atom_site_fract_z
Cs1 Cs 0.250 0.250 0.250
Nb1 Nb 0.000 0.000 0.000
Ga1 Ga 0.000 0.000 0.500
Cl1 Cl 0.000 0.000 0.231
```

Calculated values
E, Ha/atom: -0.1476
Density, g/cm³: 3.3
Energy relative to the elements, uncorrected, eV per formula unit: -14.28

Entry from Alexandria: crystalline Cs2NdGaCl6 at its relaxed geometry (PBE).

```
data_Cs2NdGaCl6
_chemical_formula_sum 'Cs8 Nd4 Ga4 Cl24'
_space_group_name_H-M_alt 'F m -3 m'
_space_group_IT_number 225
_space_group_name_Hall '-F 4 2 3'
_cell_length_a 11.363
_cell_length_b 11.363
_cell_length_c 11.363
_cell_angle_alpha 90.00
_cell_angle_beta 90.00
_cell_angle_gamma 90.00
loop_
_atom_site_label
_atom_site_type_symbol
_atom_site_fract_x
_atom_site_fract_y
_atom_site_fract_z
Cs1 Cs 0.250 0.250 0.250
Nd1 Nd 0.000 0.000 0.000
Ga1 Ga 0.000 0.000 0.500
Cl1 Cl 0.000 0.000 0.241
```

Calculated values
E, Ha/atom: -0.1449
Density, g/cm³: 3.1
Energy relative to the elements, uncorrected, eV per formula unit: -18.84

Entry from Alexandria: crystalline CsGa2NiCl8 at its relaxed geometry (PBE).

```
data_CsGa2NiCl8
_chemical_formula_sum 'Cs3 Ga6 Ni3 Cl24'
_space_group_name_H-M_alt 'R -3'
_space_group_IT_number 148
_space_group_name_Hall '-R 3'
_cell_length_a 6.4187
_cell_length_b 6.4187
_cell_length_c 29.1516
_cell_angle_alpha 90.00
_cell_angle_beta 90.00
_cell_angle_gamma 120.00
loop_
_atom_site_label
_atom_site_type_symbol
_atom_site_fract_x
_atom_site_fract_y
_atom_site_fract_z
Cs1 Cs 0.0000 0.0000 0.0000
Ga1 Ga 0.0000 0.0000 0.2389
Ni1 Ni 0.0000 0.0000 0.5000
Cl1 Cl 0.0000 0.0000 0.3153
Cl2 Cl 0.0104 0.6528 0.1159
```

Calculated values
E, Ha/atom: -0.1249
Density, g/cm³: 2.9
Energy relative to the elements, uncorrected, eV per formula unit: -13.34

Among the records above, which one has the highest density? Cs2MgGaCl6

Which of these has the lowest energy relative to the elements, uncorrected? Cs2Mg2GaCl7

Number 7 is which compound? Cs2NdGaCl6